# MnBe2Fe | Alexandria | PBE | relaxed
data_MnBe2Fe
_chemical_formula_sum 'Mn1 Be2 Fe1'
_space_group_name_H-M_alt 'P 1'
_space_group_IT_number 1
_space_group_name_Hall 'P 1'
_cell_length_a 2.593
_cell_length_b 2.593
_cell_length_c 5.413
_cell_angle_alpha 90.00
_cell_angle_beta 90.00
_cell_angle_gamma 90.00
loop_
_atom_site_label
_atom_site_type_symbol
_atom_site_fract_x
_atom_site_fract_y
_atom_site_fract_z
Mn1 Mn 0.000 0.000 0.000
Be1 Be 0.000 0.000 0.488
Be2 Be 0.500 0.500 0.270
Fe1 Fe 0.500 0.500 0.740
# Total DFT energy (no corrections) in eV per atom: -6.403
# Space-group type: No. 99
# ΔE_f in meV per atom: -131.8